Material: ZrHg2SbPd
Method: DFT, PBE
State: relaxed

Computed properties:
Size of the total moment (μB/cell): 0.7
Volume (A^3/atom): 28.150
Symmetry: No. 123
Formation energy without anion corrections (meV per atom): 731

Cell and atoms, written as POSCAR:
```
ZrHg2SbPd
1.0
-4.3939 2.0673 2.3033
-0.5504 -4.0778 2.6099
3.0348 2.0933 3.9107
Sb Zr Hg Pd
1 1 2 1
Cartesian
0.0000 0.0000 0.0000
-0.9548 0.0414 4.4119
1.5174 1.0466 1.9553
-2.1970 1.0336 1.1516
-0.2752 -2.0389 1.3049
```

Material: Mg3Zn2Pd2
Method: DFT, PBE
State: relaxed

Computed properties:
Size of the total moment (μB/cell): 0.0
Volume (A^3/atom): 16.337
Calculated formation energy (eV/atom): -0.40
Symmetry: No. 12

Cell and atoms, written as POSCAR:
```
Mg3Zn2Pd2
1.0
0.7569 3.8879 -2.0071
2.4609 -3.5046 -1.1744
-5.8006 -2.7130 -2.9527
Mg Zn Pd
3 2 2
Cartesian
0.0000 0.0000 0.0000
-0.6942 -1.7766 -4.1573
-1.8886 -0.5530 -1.9768
1.2195 -1.2360 -2.1566
-3.8024 -1.0936 -3.9775
-2.7236 -3.4093 -3.1655
0.1407 1.0797 -2.9687
```

| no. | DOS(E_F) (states/eV per atom) |
| --- | --- |
| 1 | 0.78 |
| 2 | 0.34 |